# 1
This record from Alexandria describes a crystal of In2CuOsPb relaxed with PBEsol. The functional is meta-GGA SCAN.

The structure in POSCAR format:
```
In2CuOsPb
1.0
5.549 0.000 0.000
0.000 5.549 0.000
0.000 0.000 4.703
In Cu Os Pb
2 1 1 1
Direct
0.000 0.500 0.000 In
0.500 0.000 0.000 In
0.000 0.000 0.500 Cu
0.500 0.500 0.500 Os
0.000 0.000 0.000 Pb
```

M_tot: 2.73 μB/f.u.
total DFT energy (no corrections): -44.16 eV/atom
N(E_F): 3.250 states/eV per cell
energy relative to the elements: 8.85 eV per formula unit


# 2
This record from Alexandria describes a crystal of NaCeAu2 relaxed with PBEsol. The functional is meta-GGA SCAN.

The structure in POSCAR format:
```
NaCeAu2
1.0
0.000 3.524 3.524
3.524 0.000 3.524
3.524 3.524 0.000
Na Ce Au
1 1 2
Direct
0.000 0.000 0.000 Na
0.500 0.500 0.500 Ce
0.250 0.250 0.250 Au
0.750 0.750 0.750 Au
```

M_tot: 1.12 μB/f.u.
total DFT energy (no corrections): -47.43 eV/atom
N(E_F): 6.759 states/eV per cell
energy relative to the elements: -2.62 eV per formula unit


# 3
This record from Alexandria describes a crystal of LaTc3 relaxed with PBEsol. The functional is meta-GGA SCAN.

The structure in POSCAR format:
```
LaTc3
1.0
4.524 2.612 0.944
-4.524 2.612 0.944
0.000 -5.224 0.944
La Tc
1 3
Direct
0.000 0.000 0.000 La
0.000 0.500 0.500 Tc
0.500 0.000 0.500 Tc
0.500 0.500 0.000 Tc
```

M_tot: 0.00 μB/f.u.
total DFT energy (no corrections): -36.48 eV/atom
N(E_F): 4.949 states/eV per cell
energy relative to the elements: 2.38 eV per formula unit


# 4
This record from Alexandria describes a crystal of MgScCd relaxed with PBEsol. The functional is meta-GGA SCAN.

The structure in POSCAR format:
```
MgScCd
1.0
-1.598 1.598 6.290
1.598 -1.598 6.290
1.598 1.598 -6.290
Mg Sc Cd
1 1 1
Direct
0.000 0.000 0.000 Mg
0.682 0.682 0.000 Sc
0.342 0.342 0.000 Cd
```

M_tot: 0.42 μB/f.u.
total DFT energy (no corrections): -16.76 eV/atom
N(E_F): 2.428 states/eV per cell
energy relative to the elements: -0.67 eV per formula unit


# 5
This record from Alexandria describes a crystal of MnTc3O relaxed with PBEsol. The functional is meta-GGA SCAN.

The structure in POSCAR format:
```
MnTc3O
1.0
4.318 0.000 0.000
0.000 4.318 0.000
0.000 0.000 4.318
Mn Tc O
1 3 1
Direct
0.000 0.000 0.000 Mn
0.000 0.000 0.500 Tc
0.000 0.500 0.000 Tc
0.500 0.000 0.000 Tc
0.500 0.500 0.500 O
```

M_tot: 4.58 μB/f.u.
total DFT energy (no corrections): -24.11 eV/atom
N(E_F): 4.864 states/eV per cell
formation energy from raw total energies: 176 kJ/mol of atoms


# 6
This record from Alexandria describes a crystal of ZnCr2Hg relaxed with PBEsol. The functional is meta-GGA SCAN.

The structure in POSCAR format:
```
ZnCr2Hg
1.0
2.746 0.000 0.000
0.000 4.008 0.000
0.000 0.000 5.198
Zn Cr Hg
1 2 1
Direct
0.000 0.000 0.000 Zn
0.500 0.500 0.192 Cr
0.500 0.500 0.808 Cr
0.000 0.000 0.500 Hg
```

energy relative to the lowest polymorph listed for this composition: 445.0 meV per atom
M_tot: 0.00 μB/f.u.
total DFT energy (no corrections): -29.12 eV/atom
N(E_F): 2.861 states/eV per cell
energy relative to the elements: 1.95 eV per formula unit


# 7
This record from Alexandria describes a crystal of Zn2PtPb relaxed with PBEsol. The functional is meta-GGA SCAN.

The structure in POSCAR format:
```
Zn2PtPb
1.0
-2.083 2.083 3.964
2.083 -2.083 3.964
2.083 2.083 -3.964
Zn Pt Pb
2 1 1
Direct
0.250 0.750 0.500 Zn
0.750 0.250 0.500 Zn
0.000 0.000 0.000 Pt
0.500 0.500 0.000 Pb
```

M_tot: 0.00 μB/f.u.
total DFT energy (no corrections): -43.21 eV/atom
N(E_F): 1.700 states/eV per cell
energy relative to the elements: 0.17 eV per formula unit


# 8
This record from Alexandria describes a crystal of Sr4ScMn relaxed with PBEsol. The functional is meta-GGA SCAN.

The structure in POSCAR format:
```
Sr4ScMn
1.0
0.000 4.931 4.931
4.931 0.000 4.931
4.931 4.931 0.000
Sr Sc Mn
4 1 1
Direct
0.125 0.125 0.125 Sr
0.125 0.125 0.626 Sr
0.125 0.626 0.125 Sr
0.626 0.125 0.125 Sr
0.750 0.750 0.750 Sc
0.500 0.500 0.500 Mn
```

M_tot: 7.28 μB/f.u.
total DFT energy (no corrections): -19.52 eV/atom
N(E_F): 9.148 states/eV per cell
energy relative to the elements: 4.47 eV per formula unit


# 9
This record from Alexandria describes a crystal of Li2TlRu relaxed with PBEsol. The functional is meta-GGA SCAN.

The structure in POSCAR format:
```
Li2TlRu
1.0
2.729 0.000 0.000
0.000 4.231 0.000
0.000 0.000 5.488
Li Tl Ru
2 1 1
Direct
0.000 0.000 0.217 Li
0.000 0.000 0.783 Li
0.500 0.500 0.500 Tl
0.500 0.500 0.000 Ru
```

M_tot: 0.00 μB/f.u.
total DFT energy (no corrections): -27.84 eV/atom
N(E_F): 1.891 states/eV per cell
energy relative to the elements: 0.62 eV per formula unit


# 10
This record from Alexandria describes a crystal of Bi3Ru3O11 relaxed with PBEsol. The functional is meta-GGA SCAN.

The structure in POSCAR format:
```
Bi3Ru3O11
1.0
9.248 0.000 0.000
0.000 9.248 0.000
0.000 0.000 9.248
Bi Ru O
12 12 44
Direct
0.000 0.000 0.000 Bi
0.000 0.500 0.500 Bi
0.115 0.115 0.385 Bi
0.115 0.385 0.115 Bi
0.385 0.115 0.115 Bi
0.385 0.385 0.385 Bi
0.500 0.000 0.500 Bi
0.500 0.500 0.000 Bi
0.615 0.615 0.615 Bi
0.615 0.885 0.885 Bi
0.885 0.615 0.885 Bi
0.885 0.885 0.615 Bi
0.114 0.750 0.250 Ru
0.250 0.114 0.750 Ru
0.250 0.386 0.750 Ru
0.250 0.750 0.614 Ru
0.250 0.750 0.886 Ru
0.386 0.750 0.250 Ru
0.614 0.250 0.750 Ru
0.750 0.250 0.114 Ru
0.750 0.250 0.386 Ru
0.750 0.614 0.250 Ru
0.750 0.886 0.250 Ru
0.886 0.250 0.750 Ru
0.036 0.100 0.756 O
0.036 0.400 0.744 O
0.088 0.750 0.750 O
0.100 0.744 0.464 O
0.100 0.756 0.036 O
0.147 0.147 0.147 O
0.147 0.353 0.353 O
0.244 0.536 0.600 O
0.244 0.964 0.900 O
0.250 0.250 0.588 O
0.250 0.250 0.912 O
0.250 0.588 0.250 O
0.250 0.912 0.250 O
0.256 0.536 0.900 O
0.256 0.964 0.600 O
0.353 0.147 0.353 O
0.353 0.353 0.147 O
0.400 0.744 0.036 O
0.400 0.756 0.464 O
0.412 0.750 0.750 O
0.464 0.100 0.744 O
0.464 0.400 0.756 O
0.536 0.600 0.244 O
0.536 0.900 0.256 O
0.588 0.250 0.250 O
0.600 0.244 0.536 O
0.600 0.256 0.964 O
0.647 0.647 0.853 O
0.647 0.853 0.647 O
0.744 0.036 0.400 O
0.744 0.464 0.100 O
0.750 0.088 0.750 O
0.750 0.412 0.750 O
0.750 0.750 0.088 O
0.750 0.750 0.412 O
0.756 0.036 0.100 O
0.756 0.464 0.400 O
0.853 0.647 0.647 O
0.853 0.853 0.853 O
0.900 0.244 0.964 O
0.900 0.256 0.536 O
0.912 0.250 0.250 O
0.964 0.600 0.256 O
0.964 0.900 0.244 O
```

M_tot: 1.06 μB/f.u.
total DFT energy (no corrections): -25.22 eV/atom
N(E_F): 23.299 states/eV per cell
formation energy from raw total energies: -114 kJ/mol of atoms


# 11
This record from Alexandria describes a crystal of YTlCl2 relaxed with PBEsol. The functional is meta-GGA SCAN.

The structure in POSCAR format:
```
YTlCl2
1.0
1.772 -3.081 0.000
1.772 3.081 0.000
0.000 0.000 9.811
Y Tl Cl
1 1 2
Direct
0.000 0.000 0.000 Y
0.000 0.000 0.500 Tl
0.500 0.500 0.204 Cl
0.500 0.500 0.796 Cl
```

energy relative to the lowest polymorph listed for this composition: 3.4 meV per atom
M_tot: 0.02 μB/f.u.
total DFT energy (no corrections): -30.43 eV/atom
N(E_F): 1.427 states/eV per cell
formation energy from raw total energies: -134 kJ/mol of atoms


# 12
This record from Alexandria describes a crystal of Si2AgSb relaxed with PBEsol. The functional is meta-GGA SCAN.

The structure in POSCAR format:
```
Si2AgSb
1.0
2.778 0.000 0.000
0.000 4.591 0.000
-0.010 0.000 6.103
Si Ag Sb
2 1 1
Direct
0.001 0.000 0.292 Si
0.999 0.000 0.708 Si
0.000 0.500 0.500 Ag
0.000 0.500 0.000 Sb
```

M_tot: 0.00 μB/f.u.
total DFT energy (no corrections): -21.68 eV/atom
N(E_F): 1.428 states/eV per cell
formation energy from raw total energies: 47 kJ/mol of atoms


# 13
This record from Alexandria describes a crystal of RbBAs3 relaxed with PBEsol. The functional is meta-GGA SCAN.

The structure in POSCAR format:
```
RbBAs3
1.0
4.649 0.000 0.000
0.000 4.649 0.000
0.000 0.000 4.649
Rb B As
1 1 3
Direct
0.000 0.000 0.000 Rb
0.500 0.500 0.500 B
0.000 0.500 0.500 As
0.500 0.000 0.500 As
0.500 0.500 0.000 As
```

M_tot: 0.00 μB/f.u.
total DFT energy (no corrections): -17.08 eV/atom
N(E_F): 2.168 states/eV per cell
energy relative to the elements: 3.35 eV per formula unit


# 14
This record from Alexandria describes a crystal of BaCu3 relaxed with PBEsol. The functional is meta-GGA SCAN.

The structure in POSCAR format:
```
BaCu3
1.0
2.099 1.212 5.413
-2.099 1.212 5.413
0.000 -2.423 5.413
Ba Cu
1 3
Direct
0.000 0.000 0.000 Ba
0.188 0.188 0.188 Cu
0.500 0.500 0.500 Cu
0.812 0.812 0.812 Cu
```

M_tot: 0.00 μB/f.u.
total DFT energy (no corrections): -21.30 eV/atom
N(E_F): 1.866 states/eV per cell
energy relative to the elements: -0.06 eV per formula unit


# 15
This record from Alexandria describes a crystal of Y2PBr2 relaxed with PBEsol. The functional is meta-GGA SCAN.

The structure in POSCAR format:
```
Y2PBr2
1.0
-2.135 2.135 6.918
2.135 -2.135 6.918
2.135 2.135 -6.918
Y P Br
2 1 2
Direct
0.111 0.111 0.000 Y
0.889 0.889 0.000 Y
0.500 0.500 0.000 P
0.250 0.750 0.500 Br
0.750 0.250 0.500 Br
```

M_tot: 1.00 μB/f.u.
total DFT energy (no corrections): -22.11 eV/atom
N(E_F): 0.335 states/eV per cell
formation energy from raw total energies: -107 kJ/mol of atoms


# 16
This record from Alexandria describes a crystal of CuSbNF2 relaxed with PBEsol. The functional is meta-GGA SCAN.

The structure in POSCAR format:
```
CuSbNF2
1.0
4.253 0.000 0.000
0.000 4.253 0.000
0.000 0.000 4.071
Cu Sb N F
1 1 1 2
Direct
0.000 0.000 0.000 Cu
0.500 0.500 0.500 Sb
0.500 0.500 0.000 N
0.000 0.500 0.500 F
0.500 0.000 0.500 F
```

M_tot: 0.00 μB/f.u.
total DFT energy (no corrections): -14.02 eV/atom
N(E_F): 0.484 states/eV per cell
formation energy from raw total energies: -25 kJ/mol of atoms


# 17
This record from Alexandria describes a crystal of AlN relaxed with PBEsol. The functional is meta-GGA SCAN.

The structure in POSCAR format:
```
AlN
1.0
0.000 2.189 2.189
2.189 0.000 2.189
2.189 2.189 0.000
Al N
1 1
Direct
0.000 0.000 0.000 Al
0.250 0.250 0.250 N
```

M_tot: 0.00 μB/f.u.
total DFT energy (no corrections): -10.19 eV/atom
N(E_F): 0.000 states/eV per cell
formation energy from raw total energies: -161 kJ/mol of atoms


# 18
This record from Alexandria describes a crystal of Mn3RePd relaxed with PBEsol. The functional is meta-GGA SCAN.

The structure in POSCAR format:
```
Mn3RePd
1.0
4.569 0.000 0.000
0.000 4.569 0.000
0.000 0.000 4.569
Mn Re Pd
3 1 1
Direct
0.000 0.000 0.500 Mn
0.000 0.500 0.000 Mn
0.500 0.000 0.000 Mn
0.500 0.500 0.500 Re
0.000 0.000 0.000 Pd
```

M_tot: 11.03 μB/f.u.
total DFT energy (no corrections): -30.52 eV/atom
N(E_F): 3.309 states/eV per cell
energy relative to the elements: 6.05 eV per formula unit


# 19
This record from Alexandria describes a crystal of ScSbN2F relaxed with PBEsol. The functional is meta-GGA SCAN.

The structure in POSCAR format:
```
ScSbN2F
1.0
4.200 0.000 0.000
0.000 4.200 0.000
0.000 0.000 3.873
Sc Sb N F
1 1 2 1
Direct
0.000 0.000 0.000 Sc
0.500 0.500 0.500 Sb
0.000 0.500 0.000 N
0.500 0.000 0.000 N
0.000 0.000 0.500 F
```

M_tot: 1.00 μB/f.u.
total DFT energy (no corrections): -15.33 eV/atom
N(E_F): 1.275 states/eV per cell
formation energy from raw total energies: -58 kJ/mol of atoms


# 20
This record from Alexandria describes a crystal of CeSiPt relaxed with PBEsol. The functional is meta-GGA SCAN.

The structure in POSCAR format:
```
CeSiPt
1.0
-2.030 2.030 7.319
2.030 -2.030 7.319
2.030 2.030 -7.319
Ce Si Pt
2 2 2
Direct
0.000 0.000 0.000 Ce
0.750 0.250 0.500 Ce
0.169 0.669 0.500 Si
0.419 0.419 0.000 Si
0.333 0.833 0.500 Pt
0.583 0.583 0.000 Pt
```

M_tot: 0.66 μB/f.u.
total DFT energy (no corrections): -42.86 eV/atom
N(E_F): 6.930 states/eV per cell
formation energy from raw total energies: -122 kJ/mol of atoms


# 21
This record from Alexandria describes a crystal of TlTe2IBr relaxed with PBEsol. The functional is meta-GGA SCAN.

The structure in POSCAR format:
```
TlTe2IBr
1.0
5.396 0.000 0.000
0.000 5.396 0.000
0.000 0.000 6.514
Tl Te I Br
1 2 1 1
Direct
0.000 0.000 0.000 Tl
0.000 0.500 0.500 Te
0.500 0.000 0.500 Te
0.500 0.500 0.000 I
0.500 0.500 0.500 Br
```

M_tot: 0.66 μB/f.u.
total DFT energy (no corrections): -40.24 eV/atom
N(E_F): 8.946 states/eV per cell
formation energy from raw total energies: 36 kJ/mol of atoms


# 22
This record from Alexandria describes a crystal of Cd2BiPb2 relaxed with PBEsol. The functional is meta-GGA SCAN.

The structure in POSCAR format:
```
Cd2BiPb2
1.0
9.080 0.000 0.000
0.000 9.080 0.000
0.000 0.000 3.353
Cd Bi Pb
4 2 4
Direct
0.115 0.385 0.000 Cd
0.385 0.885 0.000 Cd
0.615 0.115 0.000 Cd
0.885 0.615 0.000 Cd
0.000 0.000 0.500 Bi
0.500 0.500 0.500 Bi
0.185 0.685 0.500 Pb
0.315 0.185 0.500 Pb
0.685 0.815 0.500 Pb
0.815 0.315 0.500 Pb
```

M_tot: 0.00 μB/f.u.
total DFT energy (no corrections): -58.09 eV/atom
N(E_F): 4.555 states/eV per cell
energy relative to the elements: 0.53 eV per formula unit


# 23
This record from Alexandria describes a crystal of ZnRhBr2 relaxed with PBEsol. The functional is meta-GGA SCAN.

The structure in POSCAR format:
```
ZnRhBr2
1.0
1.760 1.016 7.862
-1.760 1.016 7.862
0.000 -2.033 7.862
Zn Rh Br
1 1 2
Direct
0.000 0.000 0.000 Zn
0.740 0.740 0.740 Rh
0.266 0.266 0.266 Br
0.466 0.466 0.466 Br
```

energy relative to the lowest polymorph listed for this composition: 0.0 meV per atom
M_tot: 1.00 μB/f.u.
total DFT energy (no corrections): -21.77 eV/atom
N(E_F): 1.469 states/eV per cell
formation energy from raw total energies: -21 kJ/mol of atoms


# 24
This record from Alexandria describes a crystal of HfCuGe relaxed with PBEsol. The functional is meta-GGA SCAN.

The structure in POSCAR format:
```
HfCuGe
1.0
-1.870 1.870 6.669
1.870 -1.870 6.669
1.870 1.870 -6.669
Hf Cu Ge
2 2 2
Direct
0.170 0.170 0.000 Hf
0.830 0.830 0.000 Hf
0.000 0.500 0.500 Cu
0.500 0.000 0.500 Cu
0.373 0.373 0.000 Ge
0.627 0.627 0.000 Ge
```

M_tot: 0.00 μB/f.u.
total DFT energy (no corrections): -32.90 eV/atom
N(E_F): 1.589 states/eV per cell
energy relative to the elements: -1.75 eV per formula unit


# 25
This record from Alexandria describes a crystal of YBeRhAu2 relaxed with PBEsol. The functional is meta-GGA SCAN.

The structure in POSCAR format:
```
YBeRhAu2
1.0
5.006 0.000 0.000
0.000 5.006 0.000
0.000 0.000 3.990
Y Be Rh Au
1 1 1 2
Direct
0.000 0.000 0.000 Y
0.500 0.500 0.000 Be
0.500 0.500 0.500 Rh
0.000 0.500 0.500 Au
0.500 0.000 0.500 Au
```

M_tot: 0.00 μB/f.u.
total DFT energy (no corrections): -41.01 eV/atom
N(E_F): 2.891 states/eV per cell
energy relative to the elements: -0.77 eV per formula unit


# 26
This record from Alexandria describes a crystal of Ta3ZnSe relaxed with PBEsol. The functional is meta-GGA SCAN.

The structure in POSCAR format:
```
Ta3ZnSe
1.0
4.665 0.000 0.000
0.000 4.665 0.000
0.000 0.000 4.665
Ta Zn Se
3 1 1
Direct
0.000 0.000 0.500 Ta
0.000 0.500 0.000 Ta
0.500 0.000 0.000 Ta
0.500 0.500 0.500 Zn
0.000 0.000 0.000 Se
```

M_tot: 0.00 μB/f.u.
total DFT energy (no corrections): -45.54 eV/atom
N(E_F): 5.308 states/eV per cell
formation energy from raw total energies: 109 kJ/mol of atoms